{"formula": "K2AcFe2O7", "functional": "PBE with a Hubbard U", "state": "optimized geometry", "e_tot_ev_per_atom": -6.03, "cell": [[-1.980, 1.980, 10.607], [1.980, -1.980, 10.607], [1.980, 1.980, -10.607]], "species": ["K", "K", "Ac", "Fe", "Fe", "O", "O", "O", "O", "O", "O", "O"], "frac_coords": [[0.188, 0.188, 0.000], [0.812, 0.812, 0.000], [0.000, 0.000, 0.000], [0.402, 0.402, 0.000], [0.598, 0.598, 0.000], [0.085, 0.585, 0.500], [0.319, 0.319, 0.000], [0.415, 0.915, 0.500], [0.500, 0.500, 0.000], [0.585, 0.085, 0.500], [0.681, 0.681, 0.000], [0.915, 0.415, 0.500]]}